Computed, not measured: a relaxed structure of Li2AcCe2Sn2 at the PBE-GGA level of DFT.

As for the density of states at the Fermi level: 12.159 states/eV/f.u. The space group is No. 166. For the formation energy, the calculation gives -0.430 eV/atom.

Lattice parameters (Å, degrees): 10.0814 10.0814 10.0814 27.00 27.00 27.00
Positions (direct):
Li1 0.0802 0.0802 0.0802
Li2 0.9198 0.9198 0.9198
Ac1 0.5000 0.5000 0.5000
Ce1 0.3548 0.3548 0.3548
Ce2 0.6452 0.6452 0.6452
Sn1 0.2419 0.2419 0.2419
Sn2 0.7581 0.7581 0.7581